This record from the Alexandria database describes a relaxed structure of Pr3In7Ir4. The functional is GGA-PBE.

abc: 4.508 8.644 9.231
angles: 69.01 75.87 74.89
Atoms (fractional coordinates):
1 Pr 0.306 0.182 0.207
2 Pr 0.694 0.818 0.793
3 Pr 0.000 0.500 0.500
4 In 0.317 0.841 0.526
5 In 0.494 0.227 0.785
6 In 0.837 0.398 0.929
7 In 0.683 0.159 0.474
8 In 0.163 0.602 0.071
9 In 0.000 0.000 0.000
10 In 0.506 0.773 0.215
11 Ir 0.665 0.446 0.225
12 Ir 0.335 0.554 0.775
13 Ir 0.886 0.895 0.332
14 Ir 0.114 0.105 0.668

Summary:
- Symmetry: C2/m, No. 12
- Total magnetic moment: 0.00 μB per formula unit
- Formation enthalpy at 0 K: -0.435 eV per atom